BaMn2Bi | PBE | optimized geometry

For the mass density, the calculation gives 5.8 g cm⁻³. The density of states at the Fermi level comes out at 5.8 states/eV/f.u. For the calculated formation energy, the calculation gives 0.394 eV per atom. The calculation puts the final energy at -5.642 eV/atom.

The space group is I4_1/amd (No. 141, origin choice 2) and the conventional cell measures 5.194, 5.194 and 19.515 Å, with angles of 90.00, 90.00 and 90.00 degrees. Symmetry generates all atoms from Ba at (0.000, 0.250, 0.375), Mn at (0.000, 0.000, 0.000) and Bi at (0.000, 0.250, 0.875).